Entry 1:
# MgHg2W

A relaxed structure of MgHg2W (PBE, Alexandria via LeMat-Bulk).

POSCAR file:
```
MgHg2W
1.0
6.7409 0.0027 0.0033
-2.7054 4.3857 -0.0093
1.3282 0.8241 2.5533
W Hg Mg
1 2 1
Direct
0.5000 0.5000 0.0000 W
0.0000 0.0000 0.0000 Hg
0.5000 0.0000 0.5000 Hg
0.0000 0.5000 0.5000 Mg
```

Values from the calculation:
- mass density (g/cm³) = 13.4
- E_form (eV/atom) = 0.44
- D(E_F) (states/eV/cell) = 1.03
- relative energy among the computed polymorphs (eV/f.u.) = 0.000

---

Entry 2:
# Mg2HgW

A relaxed structure of Mg2HgW (PBE, Alexandria via LeMat-Bulk).

POSCAR file:
```
Mg2HgW
1.0
0.0000 3.3519 3.3519
3.3519 0.0000 3.3519
3.3519 3.3519 0.0000
Mg Hg W
2 1 1
Direct
0.7500 0.7500 0.7500 Mg
0.2500 0.2500 0.2500 Mg
0.5000 0.5000 0.5000 Hg
0.0000 0.0000 0.0000 W
```

Values from the calculation:
- mass density (g/cm³) = 9.5
- E_form (eV/atom) = 0.66
- D(E_F) (states/eV/cell) = 1.45
- relative energy among the computed polymorphs (eV/f.u.) = 1.752

---

Entry 3:
# MgHg4W

A relaxed structure of MgHg4W (PBE, Alexandria via LeMat-Bulk).

POSCAR file:
```
MgHg4W
1.0
-1.2498 -4.4605 -3.3861
-4.4315 -3.4154 1.2731
-4.7271 0.1017 -3.2509
Hg Mg W
4 1 1
Direct
0.3748 0.3748 0.3748 Hg
0.8757 0.3748 0.3748 Hg
0.3748 0.3748 0.8757 Hg
0.3748 0.8757 0.3748 Hg
0.7500 0.7500 0.7500 Mg
0.0000 0.0000 0.0000 W
```

Values from the calculation:
- mass density (g/cm³) = 12.6
- E_form (eV/atom) = 0.85
- D(E_F) (states/eV/cell) = 3.63

---

Entry 4:
# Mg2HgW

A relaxed structure of Mg2HgW (PBE, Alexandria via LeMat-Bulk).

POSCAR file:
```
Mg2HgW
1.0
-2.7487 0.0218 1.1240
1.5723 -0.1906 3.8486
0.1464 6.0585 0.2402
W Mg Hg
1 2 1
Direct
0.5000 0.5000 0.2500 W
0.0000 0.0000 0.4834 Mg
0.0000 0.0000 0.0166 Mg
0.5000 0.5000 0.7500 Hg
```

Values from the calculation:
- mass density (g/cm³) = 9.6
- E_form (eV/atom) = 0.40
- D(E_F) (states/eV/cell) = 2.44
- relative energy among the computed polymorphs (eV/f.u.) = 0.713